Here is crystalline Pm2Si4Rh3Au at its relaxed geometry from Alexandria via LeMat-Bulk. Energies are from PBE-GGA.

## Properties
- uncorrected formation energy (eV/f.u.) = -9.143
- DOS(E_F) (states/eV per atom) = 0.581
- space group = P-4m2

Cell lengths 4.2038, 4.2038, 9.9888 Å; angles 90.00, 90.00, 90.00 degrees
Closest atoms and distances in Å follow each position.
Fractional coordinates of all 10 atoms:
Pm 0.5000 0.0000 0.2394  8 Si 3.18-3.20, 6 Rh 3.20-3.35, 2 Au 3.35
Pm 0.0000 0.5000 0.7605  8 Si 3.18-3.20, 6 Rh 3.20-3.35, 2 Au 3.35
Si 0.5000 0.5000 0.0000  4 Rh 2.43
Si 0.0000 0.0000 0.0000  4 Rh 2.43
Si 0.5000 0.0000 0.6415  3 Rh 2.37-2.53, 2 Au 2.53
Si 0.0000 0.5000 0.3585  3 Rh 2.37-2.53, 2 Au 2.53
Rh 0.0000 0.0000 0.5000  4 Si 2.53
Rh 0.5000 0.0000 0.8788  5 Si 2.37-2.43
Rh 0.0000 0.5000 0.1212  5 Si 2.37-2.43
Au 0.5000 0.5000 0.5000  4 Si 2.53

***

Here is crystalline Pm3Si6Rh2Au at its relaxed geometry from Alexandria via LeMat-Bulk. Energies are from PBE-GGA.

## Properties
- uncorrected formation energy (eV/f.u.) = -4.783
- DOS(E_F) (states/eV per atom) = 0.388
- space group = P-3m1

Cell lengths 5.4049, 5.4049, 9.2766 Å; angles 90.00, 90.00, 120.00 degrees
Closest atoms and distances in Å follow each position.
Fractional coordinates of all 12 atoms:
Pm 0.3333 0.6667 0.5832  9 Si 3.03-3.27, 3 Au 3.21
Pm 0.6667 0.3333 0.4168  9 Si 3.03-3.27, 3 Au 3.21
Pm 0.0000 0.0000 0.0000  6 Si 2.98, 6 Rh 3.19
Si 0.6548 0.8274 0.2703  1 Rh 2.40, 2 Si 2.61, 1 Au 2.67
Si 0.1726 0.3452 0.2703  1 Rh 2.40, 2 Si 2.61, 1 Au 2.67
Si 0.1726 0.8274 0.2703  1 Rh 2.40, 2 Si 2.61, 1 Au 2.67
Si 0.8274 0.6548 0.7297  1 Rh 2.40, 2 Si 2.61, 1 Au 2.67
Si 0.3452 0.1726 0.7297  1 Rh 2.40, 2 Si 2.61, 1 Au 2.67
Si 0.8274 0.1726 0.7297  1 Rh 2.40, 2 Si 2.61, 1 Au 2.67
Rh 0.6667 0.3333 0.9312  3 Si 2.40
Rh 0.3333 0.6667 0.0688  3 Si 2.40
Au 0.0000 0.0000 0.5000  6 Si 2.67

***

Here is crystalline PmSmRhAu at its relaxed geometry from Alexandria via LeMat-Bulk. Energies are from PBE-GGA.

## Properties
- ΔE to the lowest computed polymorph (meV per atom) = 61
- ΔH_f (0 K) (eV/atom) = -0.72
- DOS(E_F) (states/eV per atom) = 1.039
- space group = F-43m

Cell lengths 5.0891, 5.0891, 5.0891 Å; angles 60.00, 60.00, 60.00 degrees
Closest atoms and distances in Å follow each position.
Fractional coordinates of all 4 atoms:
Rh 0.5000 0.5000 0.5000  4 Sm 3.12, 4 Pm 3.12
Au 0.0000 0.0000 0.0000  4 Pm 3.12, 4 Sm 3.12
Sm 0.2500 0.2500 0.2500  4 Au 3.12, 4 Rh 3.12
Pm 0.7500 0.7500 0.7500  4 Rh 3.12, 4 Au 3.12

***

Here is crystalline PmSmRhAu at its relaxed geometry from Alexandria via LeMat-Bulk. Energies are from PBE-GGA.

## Properties
- ΔE to the lowest computed polymorph (meV per atom) = 0
- ΔH_f (0 K) (eV/atom) = -0.79
- DOS(E_F) (states/eV per atom) = 0.621
- space group = Amm2

Cell lengths 3.9083, 4.5986, 5.7099 Å; angles 90.00, 110.01, 90.00 degrees
Closest atoms and distances in Å follow each position.
Fractional coordinates of all 4 atoms:
Pm 0.1441 0.0000 0.2882  1 Rh 2.84, 4 Au 3.09
Sm 0.8646 0.5000 0.7292  3 Au 3.03-3.05, 4 Rh 3.05
Rh 0.4086 0.0000 0.8173  1 Pm 2.84, 2 Au 2.96, 4 Sm 3.05
Au 0.5826 0.5000 0.1653  2 Rh 2.96, 3 Sm 3.03-3.05, 4 Pm 3.09

***

Here is crystalline Pm2Sn4Rh3Au at its relaxed geometry from Alexandria via LeMat-Bulk. Energies are from PBE-GGA.

## Properties
- ΔH_f (0 K) (eV/atom) = -0.65
- DOS(E_F) (states/eV per atom) = 0.569
- space group = P-4m2

Cell lengths 4.5138, 4.5138, 10.9066 Å; angles 90.00, 90.00, 90.00 degrees
Closest atoms and distances in Å follow each position.
Fractional coordinates of all 10 atoms:
Pm 0.5000 0.0000 0.2442  6 Rh 3.43-3.59, 8 Sn 3.44-3.49, 2 Au 3.59
Pm 0.0000 0.5000 0.7558  6 Rh 3.43-3.59, 8 Sn 3.44-3.49, 2 Au 3.59
Sn 0.5000 0.5000 0.0000  4 Rh 2.65
Sn 0.0000 0.0000 0.0000  4 Rh 2.65
Sn 0.5000 0.0000 0.6375  3 Rh 2.56-2.71, 2 Au 2.71
Sn 0.0000 0.5000 0.3625  3 Rh 2.56-2.71, 2 Au 2.71
Rh 0.0000 0.0000 0.5000  4 Sn 2.71
Rh 0.5000 0.0000 0.8718  5 Sn 2.56-2.65
Rh 0.0000 0.5000 0.1282  5 Sn 2.56-2.65
Au 0.5000 0.5000 0.5000  4 Sn 2.71

***

Here is crystalline PmSnRhAu at its relaxed geometry from Alexandria via LeMat-Bulk. Energies are from PBE-GGA.

## Properties
- ΔH_f (0 K) (eV/atom) = -0.58
- DOS(E_F) (states/eV per atom) = 0.598
- space group = F-43m

Cell lengths 4.9182, 4.9182, 4.9182 Å; angles 60.00, 60.00, 60.00 degrees
Closest atoms and distances in Å follow each position.
Fractional coordinates of all 4 atoms:
Rh 0.2500 0.2500 0.2500  4 Sn 3.01, 4 Pm 3.01
Au 0.7500 0.7500 0.7500  4 Pm 3.01, 4 Sn 3.01
Sn 0.5000 0.5000 0.5000  4 Au 3.01, 4 Rh 3.01
Pm 0.0000 0.0000 0.0000  4 Au 3.01, 4 Rh 3.01

***

Here is crystalline Pm2Sn3Rh4Au at its relaxed geometry from Alexandria via LeMat-Bulk. Energies are from PBE-GGA.

## Properties
- ΔH_f (0 K) (eV/atom) = -0.64
- DOS(E_F) (states/eV per atom) = 0.462
- space group = P-4m2

Cell lengths 4.2409, 4.2409, 11.7924 Å; angles 90.00, 90.00, 90.00 degrees
Closest atoms and distances in Å follow each position.
Fractional coordinates of all 10 atoms:
Pm 0.5000 0.0000 0.2690  4 Rh 3.14, 6 Sn 3.42-3.45, 2 Au 3.45
Pm 0.0000 0.5000 0.7310  4 Rh 3.14, 6 Sn 3.42-3.45, 2 Au 3.45
Sn 0.0000 0.0000 0.5000  4 Rh 2.78, 4 Au 3.00
Sn 0.5000 0.0000 0.8712  5 Rh 2.58-2.61
Sn 0.0000 0.5000 0.1288  5 Rh 2.58-2.61
Rh 0.5000 0.5000 0.0000  4 Sn 2.61
Rh 0.0000 0.0000 0.0000  4 Sn 2.61
Rh 0.5000 0.0000 0.6522  3 Sn 2.58-2.78, 2 Au 2.78
Rh 0.0000 0.5000 0.3478  3 Sn 2.58-2.78, 2 Au 2.78
Au 0.5000 0.5000 0.5000  4 Rh 2.78, 4 Sn 3.00

***

Here is crystalline SrPmRhAu at its relaxed geometry from Alexandria via LeMat-Bulk. Energies are from PBE-GGA.

## Properties
- ΔH_f (0 K) (eV/atom) = -0.56
- DOS(E_F) (states/eV per atom) = 0.331
- space group = F-43m

Cell lengths 5.1631, 5.1631, 5.1631 Å; angles 60.00, 60.00, 60.00 degrees
Closest atoms and distances in Å follow each position.
Fractional coordinates of all 4 atoms:
Rh 0.5000 0.5000 0.5000  4 Sr 3.16, 4 Pm 3.16
Au 0.0000 0.0000 0.0000  4 Pm 3.16, 4 Sr 3.16
Sr 0.2500 0.2500 0.2500  4 Rh 3.16, 4 Au 3.16
Pm 0.7500 0.7500 0.7500  4 Au 3.16, 4 Rh 3.16

***

Here is crystalline TbPmRhAu at its relaxed geometry from Alexandria via LeMat-Bulk. Energies are from PBE-GGA.

## Properties
- ΔE to the lowest computed polymorph (meV per atom) = 0
- ΔH_f (0 K) (eV/atom) = -0.81
- DOS(E_F) (states/eV per atom) = 0.636
- space group = Amm2

Cell lengths 3.8544, 4.6076, 5.6448 Å; angles 90.00, 109.96, 90.00 degrees
Closest atoms and distances in Å follow each position.
Fractional coordinates of all 4 atoms:
Tb 0.8647 0.5000 0.7294  3 Au 3.00-3.01, 4 Rh 3.04
Pm 0.1448 0.0000 0.2896  1 Rh 2.80, 4 Au 3.08
Rh 0.4085 0.0000 0.8171  1 Pm 2.80, 2 Au 2.95, 4 Tb 3.04
Au 0.5820 0.5000 0.1640  2 Rh 2.95, 3 Tb 3.00-3.01, 4 Pm 3.08

***

Here is crystalline TbPmRhAu at its relaxed geometry from Alexandria via LeMat-Bulk. Energies are from PBE-GGA.

## Properties
- ΔE to the lowest computed polymorph (meV per atom) = 52
- ΔH_f (0 K) (eV/atom) = -0.76
- DOS(E_F) (states/eV per atom) = 1.046
- space group = F-43m

Cell lengths 5.0504, 5.0504, 5.0504 Å; angles 60.00, 60.00, 60.00 degrees
Closest atoms and distances in Å follow each position.
Fractional coordinates of all 4 atoms:
Tb 0.7500 0.7500 0.7500  4 Rh 3.09, 4 Au 3.09
Au 0.0000 0.0000 0.0000  4 Tb 3.09, 4 Pm 3.09
Rh 0.5000 0.5000 0.5000  4 Pm 3.09, 4 Tb 3.09
Pm 0.2500 0.2500 0.2500  4 Rh 3.09, 4 Au 3.09

***

Here is crystalline PmThRhAu at its relaxed geometry from Alexandria via LeMat-Bulk. Energies are from PBE-GGA.

## Properties
- ΔE to the lowest computed polymorph (meV per atom) = 178
- ΔH_f (0 K) (eV/atom) = -0.66
- DOS(E_F) (states/eV per atom) = 0.833
- space group = F-43m

Cell lengths 5.1302, 5.1302, 5.1302 Å; angles 60.00, 60.00, 60.00 degrees
Closest atoms and distances in Å follow each position.
Fractional coordinates of all 4 atoms:
Rh 0.5000 0.5000 0.5000  4 Th 3.14, 4 Pm 3.14
Au 0.0000 0.0000 0.0000  4 Pm 3.14, 4 Th 3.14
Th 0.2500 0.2500 0.2500  4 Au 3.14, 4 Rh 3.14
Pm 0.7500 0.7500 0.7500  4 Rh 3.14, 4 Au 3.14

***

Here is crystalline PmThRhAu at its relaxed geometry from Alexandria via LeMat-Bulk. Energies are from PBE-GGA.

## Properties
- ΔE to the lowest computed polymorph (meV per atom) = 0
- ΔH_f (0 K) (eV/atom) = -0.84
- DOS(E_F) (states/eV per atom) = 0.707
- space group = Amm2

Cell lengths 3.9720, 4.1770, 6.3364 Å; angles 90.00, 108.27, 90.00 degrees
Closest atoms and distances in Å follow each position.
Fractional coordinates of all 4 atoms:
Pm 0.1505 0.0000 0.3009  1 Rh 2.98, 4 Au 3.00
Th 0.8716 0.5000 0.7432  4 Rh 2.90, 2 Au 3.20
Rh 0.3978 0.0000 0.7956  4 Th 2.90, 1 Pm 2.98, 2 Au 3.03
Au 0.5801 0.5000 0.1602  4 Pm 3.00, 2 Rh 3.03, 2 Th 3.20

***

> Number 10 is which compound?

TbPmRhAu

***

> Which value of DOS(E_F) does entry 5 give?

0.569 states/eV per atom

***

> Which value of DOS(E_F) does entry 10 give?

1.046 states/eV per atom